[1]
Material: Pa3Fe2B7
Method: DFT, PBE
State: relaxed

Lattice parameters (Å, degrees): 4.6883 4.6883 21.8465 90.00 90.00 120.00
Space group R-3m (No. 166, hexagonal axes)
One atom of each set of equivalent atoms:
Pa1 0.0000 0.0000 0.0000 [3 per cell]
Pa2 0.0000 0.0000 0.1407 [6 per cell]
Fe1 0.0000 0.0000 0.3524 [6 per cell]
B1 0.0000 0.0000 0.5000 [3 per cell]
B2 0.0834 0.5417 0.9270 [18 per cell]

- Density: 10.5 Mg/m³
- Calculated total energy: -0.283 hartree per atom
- Formation energy from the elements: -0.3 eV per formula unit



[2]
Material: Pa2Fe12B7
Method: DFT, PBE
State: relaxed

Lattice parameters (Å, degrees): 8.9674 8.9674 3.1267 90.00 90.00 120.00
Space group P-6 (No. 174)
One atom of each set of equivalent atoms:
Pa1 0.0000 0.0000 0.0000 [1 per cell]
Pa2 0.3333 0.6667 0.5000 [1 per cell]
Fe1 0.0505 0.2814 0.5000 [3 per cell]
Fe2 0.0991 0.7048 0.0000 [3 per cell]
Fe3 0.3962 0.1833 0.0000 [3 per cell]
Fe4 0.5423 0.4321 0.5000 [3 per cell]
B1 0.0604 0.4424 0.0000 [3 per cell]
B2 0.2673 0.2268 0.5000 [3 per cell]
B3 0.6667 0.3333 0.0000 [1 per cell]

- Density: 9.2 Mg/m³
- Calculated total energy: -0.303 hartree per atom
- Formation energy from the elements: -6.0 eV per formula unit



[3]
Material: PaFe12B6
Method: DFT, PBE
State: relaxed

Lattice parameters (Å, degrees): 9.3383 9.3383 7.4021 90.00 90.00 120.00
Space group R-3m (No. 166, hexagonal axes)
One atom of each set of equivalent atoms:
Pa1 0.0000 0.0000 0.0000 [3 per cell]
Fe1 0.0000 0.3685 0.5000 [18 per cell]
Fe2 0.0904 0.1808 0.3632 [18 per cell]
B1 0.0307 0.5153 0.2810 [18 per cell]

- Density: 8.6 Mg/m³
- Calculated total energy: -0.302 hartree per atom
- Formation energy from the elements: -5.3 eV per formula unit



[4]
Material: Pa3FeB7
Method: DFT, PBE
State: relaxed

Lattice parameters (Å, degrees): 3.4123 15.8542 9.4111 90.00 90.00 90.00
Space group Cmcm (No. 63)
One atom of each set of equivalent atoms:
Pa1 0.0000 0.1061 0.0626 [8 per cell]
Pa2 0.0000 0.2492 0.7500 [4 per cell]
Fe1 0.0000 0.0545 0.7500 [4 per cell]
B1 0.0000 0.2740 0.0332 [8 per cell]
B2 0.0000 0.3680 0.1540 [8 per cell]
B3 0.0000 0.4635 0.7500 [4 per cell]
B4 0.0000 0.4768 0.0942 [8 per cell]

- Density: 10.8 Mg/m³
- Calculated total energy: -0.297 hartree per atom
- Formation energy from the elements: -5.3 eV per formula unit



[5]
Material: PaFe4B
Method: DFT, PBE
State: relaxed

Lattice parameters (Å, degrees): 3.8079 3.8079 5.9443 90.00 90.00 90.00
Space group P4/mmm (No. 123)
One atom of each set of equivalent atoms:
Pa1 0.0000 0.0000 0.0000 [1 per cell]
Fe1 0.0000 0.5000 0.5000 [2 per cell]
Fe2 0.5000 0.5000 0.1813 [2 per cell]
B1 0.5000 0.5000 0.5000 [1 per cell]

- Density: 9.0 Mg/m³
- Calculated total energy: -0.301 hartree per atom
- Formation energy from the elements: 0.9 eV per formula unit



[6]
Material: PaFeB
Method: DFT, PBE
State: relaxed

Lattice parameters (Å, degrees): 2.8988 2.8988 9.5028 90.00 90.00 90.00
Space group I4mm (No. 107)
One atom of each set of equivalent atoms:
Pa1 0.0000 0.0000 0.0000 [2 per cell]
Fe1 0.0000 0.0000 0.2783 [2 per cell]
B1 0.0000 0.0000 0.7035 [2 per cell]

- Density: 12.4 Mg/m³
- Excess energy over the best structure of this formula in the dataset: 247 meV per atom
- Calculated total energy: -0.303 hartree per atom
- Formation energy from the elements: -0.1 eV per formula unit